(1)
Here is an optimized crystal structure of Na2LaGaGe2 from Alexandria. Energies are from PBE.

Values from the calculation:
For the volume, the calculation gives 295 Å³/cell. Its symmetry is Pmc2_1 (26). The formation energy comes out at -0.410 eV per atom.

Lattice parameters (Å, degrees): 4.3808 7.6401 8.8128 90.00 90.00 90.00
Fractional positions:
Na: 0.0000 0.8504 0.8434
La: 0.0000 0.9956 0.4418
Ge: 0.5000 0.2838 0.3829
La: 0.0000 0.4956 0.5582
Na: 0.0000 0.3504 0.1566
Ga: 0.5000 0.6530 0.3210
Ge: 0.5000 0.7838 0.6171
Ge: 0.0000 0.2354 0.8263
Na: 0.5000 0.0273 0.0777
Ge: 0.0000 0.7354 0.1737
Na: 0.5000 0.5273 0.9223
Ga: 0.5000 0.1530 0.6790


(2)
Here is an optimized crystal structure of La3Nd3Ga2Ge from Alexandria. Energies are from PBE.

Values from the calculation:
For the volume, the calculation gives 263 Å³/cell. Its symmetry is P-62m (189). The formation energy comes out at -0.465 eV per atom.

Lattice parameters (Å, degrees): 4.4370 8.2704 8.2704 120.00 90.00 90.00
Fractional positions:
Nd: 0.0000 0.4065 0.0000
La: 0.5000 0.0000 0.7315
Ga: 0.5000 0.3333 0.6667
La: 0.5000 0.7315 0.0000
La: 0.5000 0.2685 0.2685
Nd: 0.0000 0.5935 0.5935
Ge: 0.0000 0.0000 0.0000
Nd: 0.0000 0.0000 0.4065
Ga: 0.5000 0.6667 0.3333


(3)
Here is an optimized crystal structure of LaGa2Ni2Ge from Alexandria. Energies are from PBE.

Values from the calculation:
For the volume, the calculation gives 112 Å³/cell. Its symmetry is P4/mmm (123). The formation energy comes out at -0.351 eV per atom.

Lattice parameters (Å, degrees): 4.4197 4.4197 5.7451 90.00 90.00 90.00
Fractional positions:
Ga: 0.5000 0.5000 0.7473
Ni: 0.0000 0.5000 0.0000
Ni: 0.5000 0.0000 0.0000
La: 0.0000 0.0000 0.5000
Ga: 0.5000 0.5000 0.2527
Ge: 0.0000 0.0000 0.0000


(4)
Here is an optimized crystal structure of LaGa2Ni4Ge from Alexandria. Energies are from PBE.

Values from the calculation:
For the volume, the calculation gives 125 Å³/cell. Its symmetry is R-3m (166). The formation energy comes out at -0.401 eV per atom.

Lattice parameters (Å, degrees): 4.0936 4.0936 8.9627 76.80 76.80 60.00
Fractional positions:
Ga: 0.2429 0.2429 0.2714
Ni: 0.4098 0.4098 0.7706
La: 0.0000 0.0000 0.0000
Ge: 0.5000 0.5000 0.5000
Ni: 0.5902 0.5902 0.2294
Ni: 0.8629 0.8629 0.4114
Ga: 0.7571 0.7571 0.7286
Ni: 0.1371 0.1371 0.5886


(5)
Here is an optimized crystal structure of La2GaNi6Ge from Alexandria. Energies are from PBE.

Values from the calculation:
For the volume, the calculation gives 169 Å³/cell. Its symmetry is P-1 (2). The formation energy comes out at -0.359 eV per atom.

Lattice parameters (Å, degrees): 6.1876 6.2466 6.1697 59.80 60.82 90.53
Fractional positions:
La: 0.7094 0.2898 0.5825
Ni: 0.1235 0.3277 0.0538
La: 0.2906 0.7102 0.4174
Ni: 0.8765 0.6723 0.9462
Ni: 0.8189 0.8739 0.5068
Ni: 0.3265 0.8216 0.8027
Ni: 0.6735 0.1784 0.1973
Ge: 0.0000 0.0000 0.0000
Ga: 0.5000 0.5000 0.0000
Ni: 0.1811 0.1261 0.4932


(6)
Here is an optimized crystal structure of LaGa2NiGe from Alexandria. Energies are from PBE.

Values from the calculation:
For the distance to the lowest polymorph of the same formula, the calculation gives 201 meV/atom. For the volume, the calculation gives 102 Å³/cell. Its symmetry is P4/mmm (123). The formation energy comes out at -0.380 eV per atom.

Lattice parameters (Å, degrees): 4.6351 4.6351 4.7384 90.00 90.00 90.00
Fractional positions:
La: 0.5000 0.5000 0.5000
Ge: 0.0000 0.0000 0.5000
Ga: 0.0000 0.5000 0.0000
Ga: 0.5000 0.0000 0.0000
Ni: 0.0000 0.0000 0.0000


(7)
Here is an optimized crystal structure of La2GaNi4Ge3 from Alexandria. Energies are from PBE.

Values from the calculation:
For the volume, the calculation gives 174 Å³/cell. Its symmetry is P-4m2 (115). The formation energy comes out at -0.688 eV per atom.

Lattice parameters (Å, degrees): 4.2073 4.2073 9.8350 90.00 90.00 90.00
Fractional positions:
Ge: 0.0000 0.0000 0.5000
Ni: 0.5000 0.5000 0.0000
La: 0.0000 0.5000 0.7522
La: 0.5000 0.0000 0.2478
Ni: 0.5000 0.0000 0.6298
Ge: 0.5000 0.0000 0.8761
Ge: 0.0000 0.5000 0.1239
Ga: 0.5000 0.5000 0.5000
Ni: 0.0000 0.0000 0.0000
Ni: 0.0000 0.5000 0.3702


(8)
Here is an optimized crystal structure of LaGa2NiGe from Alexandria. Energies are from PBE.

Values from the calculation:
For the distance to the lowest polymorph of the same formula, the calculation gives 0 meV/atom. For the volume, the calculation gives 94 Å³/cell. Its symmetry is Imm2 (44). The formation energy comes out at -0.581 eV per atom.

Lattice parameters (Å, degrees): 4.2337 4.1745 6.0988 110.01 110.31 90.00
Fractional positions:
Ge: 0.8228 0.8228 0.6455
Ni: 0.1972 0.6972 0.3944
La: 0.4400 0.4400 0.8799
Ga: 0.0648 0.0648 0.1296
Ga: 0.6875 0.1875 0.3749


(9)
Here is an optimized crystal structure of La2Ga3Ni4Ge from Alexandria. Energies are from PBE.

Values from the calculation:
For the volume, the calculation gives 176 Å³/cell. Its symmetry is P-4m2 (115). The formation energy comes out at -0.588 eV per atom.

Lattice parameters (Å, degrees): 4.2765 4.2765 9.6464 90.00 90.00 90.00
Fractional positions:
Ga: 0.0000 0.0000 0.5000
Ga: 0.5000 0.0000 0.8805
Ga: 0.0000 0.5000 0.1195
Ni: 0.0000 0.5000 0.3738
Ni: 0.5000 0.0000 0.6262
La: 0.0000 0.5000 0.7528
Ni: 0.0000 0.0000 0.0000
Ge: 0.5000 0.5000 0.5000
La: 0.5000 0.0000 0.2472
Ni: 0.5000 0.5000 0.0000


(10)
Here is an optimized crystal structure of LaGaNi3Ge from Alexandria. Energies are from PBE.

Values from the calculation:
For the volume, the calculation gives 208 Å³/cell. Its symmetry is Cmcm (63). The formation energy comes out at -0.366 eV per atom.

Lattice parameters (Å, degrees): 5.6663 6.2441 6.6511 118.00 90.00 90.00
Fractional positions:
Ge: 0.2500 0.3767 0.7533
Ga: 0.2500 0.9765 0.9530
Ni: 0.5000 0.2984 0.0000
Ga: 0.7500 0.0235 0.0470
Ni: 0.0000 0.2984 0.0000
Ni: 0.2500 0.1770 0.3540
Ni: 0.7500 0.8230 0.6460
Ni: 0.5000 0.7016 0.0000
La: 0.2500 0.7171 0.4342
Ge: 0.7500 0.6233 0.2467
La: 0.7500 0.2829 0.5658
Ni: 0.0000 0.7016 0.0000


(11)
Here is an optimized crystal structure of La3GaGe5O16 from Alexandria. Energies are from PBE.

Values from the calculation:
For the volume, the calculation gives 635 Å³/cell. The formation energy (no corrections) is -2.2890 eV/atom. Its symmetry is P-1 (2).

Lattice parameters (Å, degrees): 4.8883 8.2430 15.8066 90.82 94.23 90.05
Fractional positions:
O: 0.7921 0.3970 0.2822
O: 0.7643 0.6041 0.7964
O: 0.7930 0.2767 0.8132
Ge: 0.5212 0.5605 0.8736
O: 0.5594 0.8567 0.4811
Ge: 0.4794 0.0576 0.0885
O: 0.8084 0.7194 0.3081
Ga: 0.5067 0.1896 0.7430
Ge: 0.5141 0.0586 0.4145
O: 0.7168 0.4161 0.6575
Ge: 0.9920 0.4289 0.7556
O: 0.3079 0.9375 0.3367
Ge: 0.4788 0.4395 0.1264
Ge: 0.5498 0.4357 0.3615
O: 0.6663 0.2539 0.1093
O: 0.3954 0.0045 0.8030
O: 0.2357 0.3959 0.2036
O: 0.2401 0.5214 0.5462
O: 0.7485 0.5206 0.9620
O: 0.8812 0.9327 0.9052
O: 0.4548 0.1342 0.9661
Ga: 0.4933 0.8104 0.2570
O: 0.2079 0.6030 0.7178
La: 0.0204 0.7383 0.0355
Ge: 0.4859 0.9414 0.5855
La: 0.9796 0.2617 0.9645
O: 0.6921 0.0625 0.6633
La: 0.0268 0.7343 0.4567
O: 0.1327 0.9094 0.5952
La: 0.9732 0.2657 0.5433
La: 0.0204 0.1391 0.2503
O: 0.3337 0.7461 0.8907
O: 0.4406 0.1433 0.5189
Ge: 0.0080 0.5711 0.2444
O: 0.3679 0.2481 0.3615
O: 0.1916 0.2806 0.6919
O: 0.7445 0.5860 0.1469
O: 0.1188 0.0673 0.0948
La: 0.9796 0.8609 0.7497
O: 0.6046 0.9955 0.1970
Ge: 0.5206 0.9424 0.9115
O: 0.6321 0.7519 0.6385
O: 0.8673 0.0906 0.4048
O: 0.2515 0.4794 0.0380
Ge: 0.4502 0.5643 0.6385
O: 0.7599 0.4786 0.4538
O: 0.2070 0.7233 0.1868
O: 0.2555 0.4140 0.8531
O: 0.2832 0.5839 0.3425
O: 0.5452 0.8658 0.0339


(12)
Here is an optimized crystal structure of LaGaGe2O7 from Alexandria. Energies are from PBE.

Values from the calculation:
For the volume, the calculation gives 580 Å³/cell. The formation energy (no corrections) is -2.1699 eV/atom. Its symmetry is P2_1/c (14).

Lattice parameters (Å, degrees): 6.7053 7.4260 13.1467 62.38 90.00 90.00
Fractional positions:
O: 0.8130 0.6567 0.8146
Ge: 0.1582 0.2887 0.4530
O: 0.4500 0.7050 0.1308
O: 0.1086 0.7235 0.2226
O: 0.1647 0.4918 0.9179
Ge: 0.5899 0.7995 0.7828
O: 0.9948 0.7511 0.4257
O: 0.6246 0.0656 0.6968
O: 0.8754 0.0656 0.1968
Ga: 0.6011 0.2841 0.7315
O: 0.3130 0.3433 0.6854
Ge: 0.9101 0.7995 0.2828
O: 0.3227 0.0930 0.4787
Ge: 0.8418 0.7113 0.5470
O: 0.4948 0.2489 0.0743
Ga: 0.8989 0.2841 0.2315
O: 0.6647 0.5082 0.5821
La: 0.8538 0.2590 0.9751
La: 0.3538 0.7410 0.5249
O: 0.9500 0.2950 0.3692
Ga: 0.3989 0.7159 0.2685
La: 0.1462 0.7410 0.0249
O: 0.0500 0.7050 0.6308
O: 0.6870 0.6567 0.3146
O: 0.8914 0.2765 0.7774
O: 0.0052 0.2489 0.5743
Ge: 0.0899 0.2005 0.7172
O: 0.3353 0.4918 0.4179
Ge: 0.6582 0.7113 0.0470
O: 0.8227 0.9070 0.0213
Ge: 0.3418 0.2887 0.9530
O: 0.3754 0.9344 0.3032
O: 0.3914 0.7235 0.7226
O: 0.1246 0.9344 0.8032
Ga: 0.1011 0.7159 0.7685
O: 0.8353 0.5082 0.0821
O: 0.1773 0.0930 0.9787
O: 0.5052 0.7511 0.9257
O: 0.6773 0.9070 0.5213
Ge: 0.4101 0.2005 0.2172
O: 0.1870 0.3433 0.1854
O: 0.6086 0.2765 0.2774
O: 0.5500 0.2950 0.8692
La: 0.6462 0.2590 0.4751